A plane-wave DFT calculation with GGA-PBEsol was carried out for a geometry-optimized YTaSb2 structure.

abc: 3.4573 3.4573 7.4139
angles: 90.00 90.00 90.00
With the nearest neighbours (Å) after each atom.
Fractional coordinates of all 4 atoms:
Sb: 0.0000 0.0000 0.2180  4 Ta 2.93, 4 Y 3.22, 1 Sb 3.23
Sb: 0.0000 0.0000 0.7820  4 Ta 2.93, 4 Y 3.22, 1 Sb 3.23
Y: 0.5000 0.5000 0.5000  8 Sb 3.22, 4 Y 3.46
Ta: 0.5000 0.5000 0.0000  8 Sb 2.93

## Properties
The value obtained for the uncorrected formation energy is -362 meV/atom. The value obtained for the total DFT energy (no corrections) is -7.48 eV/atom. The distance to the lowest polymorph of the same formula is 0.00 kJ per mole of atoms. As for the volume: 22.2 Å³ per atom.